## Fe3TeF (GGA+U)

Data for a relaxed structure of Fe3TeF.

N(E_F) = 1.0 states/eV/cell
V = 23.62 Å³/atom
spin magnetization = 1.801 μB per atom
symmetry = Pm-3m
calculated total energy = -16.8 eV/cell

Cell: 4.9065 4.9065 4.9065 Å, 90.00 90.00 90.00°
Each line ends with the local moment (μB).
Fractional coordinates of all 5 atoms:
Te  0.0000  0.0000  0.0000  -0.08
Fe  0.0000  0.0000  0.5000  2.86
Fe  0.5000  0.0000  0.0000  3.51
Fe  0.0000  0.5000  0.0000  3.18
F  0.5000  0.5000  0.5000  -0.01